Computed, not measured: a geometry-optimized Zr2BePdN structure at the GGA-PBE level of DFT.

The space group is P4/mmm (No. 123) and the conventional cell measures 4.639, 4.639 and 3.370 Å, with angles of 90.00, 90.00 and 90.00 degrees. The inequivalent atoms are Zr at (0.000, 0.500, 0.000), Be at (0.000, 0.000, 0.500), Pd at (0.500, 0.500, 0.500) and N at (0.000, 0.000, 0.000).

As for the total energy: -38.5 eV per cell. As for the uncorrected formation energy: -19.12 kcal/mol of atoms. The magnetic moment comes out at 0.00 μB per atom.